U2Si4Ni3Pt | PBE | optimized geometry

```
data_U2Si4Ni3Pt
_cell_length_a 3.9945
_cell_length_b 3.9945
_cell_length_c 9.6509
_cell_angle_alpha 90.00
_cell_angle_beta 90.00
_cell_angle_gamma 90.00
_symmetry_space_group_name_H-M 'P -4 m 2'
_symmetry_Int_Tables_number 115
loop_
_symmetry_equiv_pos_as_xyz
'x,y,z'
'y,-x,-z'
'-x,-y,z'
'-y,x,-z'
'-x,y,z'
'-y,-x,-z'
'x,-y,z'
'y,x,-z'
loop_
_atom_site_label
_atom_site_type_symbol
_atom_site_fract_x
_atom_site_fract_y
_atom_site_fract_z
_atom_site_occupancy
U1 U 0.0000 0.5000 0.2417 1
Si1 Si 0.0000 0.0000 0.0000 1
Si2 Si 0.0000 0.5000 0.6431 1
Si3 Si 0.5000 0.5000 0.0000 1
Ni1 Ni 0.0000 0.5000 0.8796 1
Ni2 Ni 0.5000 0.5000 0.5000 1
Pt1 Pt 0.0000 0.0000 0.5000 1
```

## Properties
Energy   -7.4112 eV per atom
E_form (uncorrected)   -0.646 eV/atom
Spin magnetization   4.03 μB per formula unit